Material: NpGaAu4
Method: DFT, GGA-PBE
State: relaxed

a = 5.603 Å, b = 5.603 Å, c = 5.603 Å
α = 60.00°, β = 60.00°, γ = 60.00°
Site moments in Bohr magnetons follow the coordinates.
Fractional coordinates of all 6 atoms:
1 Au 0.625 0.625 0.625  0.00
2 Np 0.250 0.250 0.250  4.05
3 Au 0.124 0.625 0.625  0.00
4 Au 0.625 0.124 0.625  0.00
5 Au 0.625 0.625 0.124  0.00
6 Ga 0.000 0.000 0.000  0.01

Calculated values
Formation energy from the elements, kJ/mol of atoms: -5.63
Energy above the most stable polymorph in this dataset, meV per atom: 39
Space group: F-43m